Computed, not measured: a relaxed AcSm7Tl4 crystal at the GGA-PBE level of DFT.

Summary:
Magnetic moment, μB/f.u.: 0.25
ΔH_f (0 K), eV per atom: -0.03

Cell: 7.9465 7.9465 10.5943 Å, 120.39 120.39 44.39°
Positions (direct):
Ac 0.0000 0.0000 0.0000
Sm 0.0605 0.0605 0.3948
Sm 0.2071 0.2071 0.8806
Sm 0.2788 0.2788 0.3447
Sm 0.5000 0.5000 0.0000
Sm 0.7212 0.7212 0.6553
Sm 0.7929 0.7929 0.1194
Sm 0.9395 0.9395 0.6052
Tl 0.3108 0.3108 0.6674
Tl 0.4426 0.4426 0.2525
Tl 0.5574 0.5574 0.7475
Tl 0.6892 0.6892 0.3326

=====

Computed, not measured: a relaxed AcSm15Tl4 crystal at the GGA-PBE level of DFT.

Summary:
Magnetic moment, μB/f.u.: 0.00
ΔH_f (0 K), eV per atom: -0.14

Cell: 4.9632 4.9632 25.4036 Å, 90.00 90.00 90.00°
Positions (direct):
Ac 0.0000 0.0000 0.0000
Sm 0.0000 0.5000 0.1094
Sm 0.0000 0.5000 0.3051
Sm 0.0000 0.5000 0.5000
Sm 0.0000 0.5000 0.6949
Sm 0.0000 0.5000 0.8906
Sm 0.5000 0.0000 0.1094
Sm 0.5000 0.0000 0.3051
Sm 0.5000 0.0000 0.5000
Sm 0.5000 0.0000 0.6949
Sm 0.5000 0.0000 0.8906
Sm 0.5000 0.5000 0.0000
Sm 0.5000 0.5000 0.2087
Sm 0.5000 0.5000 0.4023
Sm 0.5000 0.5000 0.5977
Sm 0.5000 0.5000 0.7913
Tl 0.0000 0.0000 0.2083
Tl 0.0000 0.0000 0.4031
Tl 0.0000 0.0000 0.5969
Tl 0.0000 0.0000 0.7917

=====

Computed, not measured: a relaxed AcSm2Tl crystal at the GGA-PBE level of DFT.

Summary:
Magnetic moment, μB/f.u.: 0.00
Distance to the lowest polymorph of the same formula, eV per atom: 0.204
ΔH_f (0 K), eV per atom: 0.03

Cell: 6.6943 6.6943 6.6943 Å, 47.14 47.14 47.14°
Positions (direct):
Ac 0.0000 0.0000 0.0000
Sm 0.5508 0.5508 0.5508
Sm 0.7830 0.7830 0.7830
Tl 0.2027 0.2027 0.2027

=====

Computed, not measured: a relaxed AcSm5Tl8 crystal at the GGA-PBE level of DFT.

Summary:
Magnetic moment, μB/f.u.: 0.00
ΔH_f (0 K), eV per atom: -0.28

Cell: 8.2527 8.2527 8.2527 Å, 110.12 110.12 108.18°
Positions (direct):
Ac 0.0000 0.0000 0.0000
Sm 0.2352 0.6157 0.1144
Sm 0.3843 0.4988 0.6195
Sm 0.5012 0.1208 0.8856
Sm 0.7500 0.2500 0.5000
Sm 0.8792 0.7648 0.3805
Tl 0.1265 0.6989 0.7351
Tl 0.1379 0.2193 0.7424
Tl 0.3011 0.0363 0.4276
Tl 0.4768 0.3955 0.2576
Tl 0.6045 0.8621 0.0813
Tl 0.6087 0.8735 0.5724
Tl 0.7807 0.5232 0.9187
Tl 0.9637 0.3913 0.2649

=====

Q: Which of these has the highest ΔH_f (0 K)?
A: AcSm2Tl

=====

Q: The highest magnetic moment belongs to which entry?
A: AcSm7Tl4

=====

Q: Look up the magnetic moment of the first one.
A: 0.25 μB/f.u.